Here is an optimized crystal structure of K3LiBr2O6 from Alexandria via LeMat-Bulk. Energies are from PBE-GGA.

The structure in CIF format:
```
data_K3LiBr2O6
_chemical_formula_sum 'K3 Li1 Br2 O6'
_space_group_name_H-M_alt 'P -3 m 1'
_space_group_IT_number 164
_space_group_name_Hall '-P 3 2"'
_cell_length_a 5.8613
_cell_length_b 5.8613
_cell_length_c 6.9491
_cell_angle_alpha 90.00
_cell_angle_beta 90.00
_cell_angle_gamma 120.00
loop_
_atom_site_label
_atom_site_type_symbol
_atom_site_fract_x
_atom_site_fract_y
_atom_site_fract_z
K1 K 0.0000 0.0000 0.0000
K2 K 0.3333 0.6667 0.6452
Li1 Li 0.0000 0.0000 0.5000
Br1 Br 0.3333 0.6667 0.1725
O1 O 0.1789 0.3578 0.2995
```

Computed properties:
The total energy is -3.788 eV/atom.


Here is an optimized crystal structure of Y2AsCl2 from Alexandria via LeMat-Bulk. Energies are from PBE-GGA.

The structure in CIF format:
```
data_Y2AsCl2
_chemical_formula_sum 'Y6 As3 Cl6'
_space_group_name_H-M_alt 'R -3 m'
_space_group_IT_number 166
_space_group_name_Hall '-R 3 2"'
_cell_length_a 4.0286
_cell_length_b 4.0286
_cell_length_c 30.5627
_cell_angle_alpha 90.00
_cell_angle_beta 90.00
_cell_angle_gamma 120.00
loop_
_atom_site_label
_atom_site_type_symbol
_atom_site_fract_x
_atom_site_fract_y
_atom_site_fract_z
Y1 Y 0.0000 0.0000 0.1142
As1 As 0.0000 0.0000 0.5000
Cl1 Cl 0.0000 0.0000 0.2718
```

Computed properties:
The total energy is -6.150 eV/atom.


no.,total magnetization (μB per formula unit)
1,0.00
2,0.00